Entry 1:
A geometry-optimized Hg3Sb2Cl4 structure. Source: Alexandria via LeMat-Bulk, functional PBE-GGA.

Unit cell a=17.7097 b=10.1599 c=7.6138 alpha=90.00 beta=100.62 gamma=90.00
Last column: nearest neighbours and their distance in Å.
Space group C2/c (No. 15)
Unique sites:
Hg1 0.0000 0.0837 0.2500 [4 per cell]  2 Hg 3.54, 2 Cl 3.84
Hg2 0.0623 0.3931 0.1160 [8 per cell]  3 Hg 3.27-3.54, 1 Sb 3.50
Sb1 0.2485 0.2967 0.3136 [8 per cell]  2 Cl 2.41-2.44
Cl1 0.1168 0.2475 0.6680 [8 per cell]  1 Sb 2.41
Cl2 0.2318 0.0218 0.0738 [8 per cell]  1 Sb 2.44

Computed properties:
Energy, Ry/atom: -0.16738
Crystal system: monoclinic

***

Entry 2:
A geometry-optimized HgSb2Cl structure. Source: Alexandria via LeMat-Bulk, functional PBE-GGA.

Unit cell a=3.4465 b=5.8347 c=10.0784 alpha=90.00 beta=90.00 gamma=90.00
Last column: nearest neighbours and their distance in Å.
Space group Cmmm (No. 65)
Unique sites:
Hg1 0.0000 0.0000 0.0000 [2 per cell]  4 Sb 3.12, 6 Hg 3.39-3.45
Sb1 0.0000 0.5000 0.2577 [4 per cell]  2 Cl 2.99, 2 Hg 3.12
Cl1 0.0000 0.0000 0.5000 [2 per cell]  4 Sb 2.99

Computed properties:
Energy, Ry/atom: -0.18920
Crystal system: orthorhombic
Energy above the lowest structure with this stoichiometry, eV/atom: 0.167

***

Entry 3:
A geometry-optimized Hg4SbCl2 structure. Source: Alexandria via LeMat-Bulk, functional PBE-GGA.

Unit cell a=5.6700 b=5.6700 c=14.8580 alpha=90.00 beta=90.00 gamma=90.00
Last column: nearest neighbours and their distance in Å.
Space group I4/mmm (No. 139)
Unique sites:
Hg1 0.0000 0.0000 0.1954 [4 per cell]  1 Cl 2.64, 1 Sb 2.90
Hg2 0.0000 0.5000 0.0000 [4 per cell]  2 Sb 2.84
Sb1 0.0000 0.0000 0.0000 [2 per cell]  6 Hg 2.84-2.90
Cl1 0.0000 0.0000 0.3730 [4 per cell]  1 Hg 2.64

Computed properties:
Energy, Ry/atom: -0.11228
Crystal system: tetragonal

***

Entry 4:
A geometry-optimized HgSb2Cl6 structure. Source: Alexandria via LeMat-Bulk, functional PBE-GGA.

Unit cell a=17.2858 b=10.8489 c=8.8526 alpha=90.00 beta=111.71 gamma=90.00
Last column: nearest neighbours and their distance in Å.
Space group C2/c (No. 15)
Unique sites:
Hg1 0.0000 0.0226 0.2500 [4 per cell]  8 Cl 4.09-4.42, 2 Hg 4.45
Sb1 0.1347 0.4883 0.7260 [8 per cell]  3 Cl 2.35-2.43
Cl1 0.1181 0.3342 0.5177 [8 per cell]  1 Sb 2.43
Cl2 0.1238 0.3357 0.9174 [8 per cell]  1 Sb 2.43
Cl3 0.2189 0.0034 0.1737 [8 per cell]  1 Sb 2.35

Computed properties:
Energy, Ry/atom: -0.21533
Crystal system: monoclinic
Energy above the lowest structure with this stoichiometry, eV/atom: 0.000

***

Entry 5:
A geometry-optimized HgSbCl2 structure. Source: Alexandria via LeMat-Bulk, functional PBE-GGA.

Unit cell a=3.3215 b=4.8985 c=14.9722 alpha=90.00 beta=90.00 gamma=90.00
Last column: nearest neighbours and their distance in Å.
Space group Imm2 (No. 44)
Unique sites:
Hg1 0.0000 0.0000 0.0000 [2 per cell]  2 Hg 3.32, 2 Sb 3.41, 2 Cl 3.65
Sb1 0.0000 0.5000 0.3008 [2 per cell]  6 Cl 2.74-2.97
Cl1 0.0000 0.0000 0.6554 [2 per cell]  2 Sb 2.74
Cl2 0.0000 0.5000 0.8193 [2 per cell]  4 Sb 2.97, 2 Cl 3.32

Computed properties:
Energy, Ry/atom: -0.16736
Crystal system: orthorhombic
Energy above the lowest structure with this stoichiometry, eV/atom: 0.211

***

Entry 6:
A geometry-optimized HgSbCl2 structure. Source: Alexandria via LeMat-Bulk, functional PBE-GGA.

Unit cell a=3.5079 b=3.5079 c=30.1167 alpha=90.00 beta=90.00 gamma=120.00
Last column: nearest neighbours and their distance in Å.
Space group R-3m (No. 166, hexagonal axes)
Unique sites:
Hg1 0.0000 0.0000 0.0000 [3 per cell]  6 Cl 3.22, 6 Hg 3.51
Sb1 0.0000 0.0000 0.5000 [3 per cell]  2 Cl 2.52
Cl1 0.0000 0.0000 0.4164 [6 per cell]  1 Sb 2.52

Computed properties:
Energy, Ry/atom: -0.16966
Crystal system: trigonal
Energy above the lowest structure with this stoichiometry, eV/atom: 0.180

***

Entry 7:
A geometry-optimized HgSb2Cl structure. Source: Alexandria via LeMat-Bulk, functional PBE-GGA.

Unit cell a=11.9589 b=4.1652 c=4.8341 alpha=90.00 beta=91.81 gamma=90.00
Last column: nearest neighbours and their distance in Å.
Space group Cm (No. 8)
Unique sites:
Hg1 0.0000 0.0000 0.0000 [2 per cell]  1 Cl 2.71, 1 Sb 2.87
Sb1 0.0111 0.5000 0.5366 [2 per cell]  2 Sb 2.94, 2 Hg 3.06
Sb2 0.3417 0.5000 0.4329 [2 per cell]  1 Hg 2.87, 2 Sb 2.94
Cl1 0.2267 0.0000 0.0035 [2 per cell]  1 Hg 2.71

Computed properties:
Energy, Ry/atom: -0.19688
Crystal system: monoclinic
Energy above the lowest structure with this stoichiometry, eV/atom: 0.062

***

Entry 8:
A geometry-optimized Hg2Sb2Cl7 structure. Source: Alexandria via LeMat-Bulk, functional PBE-GGA.

Unit cell a=13.2653 b=13.4855 c=5.7542 alpha=90.00 beta=100.07 gamma=90.00
Last column: nearest neighbours and their distance in Å.
Space group C2/m (No. 12)
Unique sites:
Hg1 0.0000 0.2310 0.0000 [4 per cell]  2 Cl 3.10
Sb1 0.2125 0.0000 0.6524 [4 per cell]  3 Cl 2.40-2.42
Cl1 0.0000 0.0000 0.5000 [2 per cell]  2 Sb 2.80
Cl2 0.1710 0.3602 0.2892 [8 per cell]  1 Sb 2.42
Cl3 0.1813 0.0000 0.0505 [4 per cell]  1 Sb 2.40

Computed properties:
Energy, Ry/atom: -0.18779
Crystal system: monoclinic

***

Entry 9:
A geometry-optimized Hg2SbCl5 structure. Source: Alexandria via LeMat-Bulk, functional PBE-GGA.

Unit cell a=8.1020 b=8.1020 c=12.4262 alpha=90.00 beta=90.00 gamma=90.00
Last column: nearest neighbours and their distance in Å.
Space group I4mm (No. 107)
Unique sites:
Hg1 0.0000 0.5000 0.0000 [4 per cell]  10 Cl 4.07-4.32
Sb1 0.0000 0.0000 0.2840 [2 per cell]  5 Cl 2.31-2.36
Cl1 0.0000 0.0000 0.4701 [2 per cell]  1 Sb 2.31
Cl2 0.2016 0.2016 0.2435 [8 per cell]  1 Sb 2.36

Computed properties:
Energy, Ry/atom: -0.16002
Crystal system: tetragonal

***

Entry 10:
A geometry-optimized HgSb2Cl structure. Source: Alexandria via LeMat-Bulk, functional PBE-GGA.

Unit cell a=3.9008 b=4.8398 c=12.2335 alpha=90.00 beta=90.00 gamma=90.00
Last column: nearest neighbours and their distance in Å.
Space group Imm2 (No. 44)
Unique sites:
Hg1 0.0000 0.0000 0.0000 [2 per cell]  4 Sb 3.14
Sb1 0.0000 0.0000 0.5385 [2 per cell]  2 Sb 2.92, 4 Hg 3.14
Sb2 0.0000 0.5000 0.2158 [2 per cell]  2 Sb 2.92, 4 Cl 3.17
Cl1 0.0000 0.5000 0.7650 [2 per cell]  4 Sb 3.17

Computed properties:
Energy, Ry/atom: -0.19310
Crystal system: orthorhombic
Energy above the lowest structure with this stoichiometry, eV/atom: 0.113

***

Entry 11:
A geometry-optimized HgSbCl4 structure. Source: Alexandria via LeMat-Bulk, functional PBE-GGA.

Unit cell a=8.3826 b=8.3826 c=8.3826 alpha=90.00 beta=90.00 gamma=90.00
Last column: nearest neighbours and their distance in Å.
Space group F-43m (No. 216)
Unique sites:
Hg1 0.0000 0.0000 0.0000 [4 per cell]  12 Cl 3.48, 4 Sb 3.63
Sb1 0.2500 0.2500 0.7500 [4 per cell]  12 Cl 3.47, 4 Hg 3.63
Cl1 0.1248 0.1248 0.3752 [16 per cell]  6 Cl 2.96-2.97

Computed properties:
Energy, Ry/atom: -0.11129
Crystal system: cubic
Energy above the lowest structure with this stoichiometry, eV/atom: 1.078

***

Entry 12:
A geometry-optimized Hg2SbCl structure. Source: Alexandria via LeMat-Bulk, functional PBE-GGA.

Unit cell a=15.2779 b=3.2231 c=4.9678 alpha=90.00 beta=108.90 gamma=90.00
Last column: nearest neighbours and their distance in Å.
Space group C2/m (No. 12)
Unique sites:
Hg1 0.2079 0.0000 0.2083 [4 per cell]  1 Sb 3.01, 6 Hg 3.20-3.22
Sb1 0.0000 0.0000 0.0000 [2 per cell]  4 Cl 2.96, 2 Hg 3.01, 2 Sb 3.22
Cl1 0.0000 0.5000 0.5000 [2 per cell]  4 Sb 2.96, 2 Cl 3.22

Computed properties:
Energy, Ry/atom: -0.12596
Crystal system: monoclinic
Energy above the lowest structure with this stoichiometry, eV/atom: 0.186

***

For reference, volume by record: 37.40, 25.33, 34.12, 42.84, 30.45, 26.75, 30.08, 46.07, 50.98, 28.87, 24.54, 28.93 Å³/atom.
For reference, magnetization by record: 0.000, 0.000, 0.000, 0.000, 0.000, 0.000, 0.000, 0.000, 0.000, 0.000, 1.071, 0.000 μB per formula unit.
For reference, energy relative to the elements, uncorrected by record: -42.4, 2.3, -23.0, -72.3, -23.9, -26.9, -7.8, -55.5, -41.7, -2.8, 43.8, -6.8 kJ/mol of atoms.